A relaxed structure of Be2RuW. Source: the Alexandria database, functional PBE-GGA.

Cell: 7.9501 7.9501 7.9501 Å, 19.68 19.68 19.68°
Atoms (fractional coordinates):
Be 0.2447 0.2447 0.2447
Be 0.7553 0.7553 0.7553
Ru 0.5000 0.5000 0.5000
W 0.0000 0.0000 0.0000

Properties
Energy relative to the elements = 0.23 eV/atom
Space group = R-3m (166)

---

A relaxed structure of Er3Tm2In. Source: the Alexandria database, functional PBE-GGA.

Cell: 6.5853 6.5853 6.5853 Å, 122.14 80.67 129.06°
Atoms (fractional coordinates):
Er 0.0000 0.0000 0.0000
Er 0.3435 0.9992 0.3443
Er 0.6549 0.9992 0.6557
Tm 0.3173 0.4997 0.8176
Tm 0.6820 0.4997 0.1824
In 0.9991 0.4991 0.5000

Properties
Energy relative to the elements = 0.24 eV/atom
Space group = Imm2 (44)

---

A relaxed structure of MnCuHPd2. Source: the Alexandria database, functional PBE-GGA.

Cell: 3.9605 3.9605 3.8543 Å, 90.00 90.00 90.00°
Atoms (fractional coordinates):
Mn 0.0000 0.0000 0.0000
Cu 0.5000 0.5000 0.0000
H 0.0000 0.0000 0.5000
Pd 0.0000 0.5000 0.5000
Pd 0.5000 0.0000 0.5000

Properties
VASP energy = -5.535 eV/atom
Space group = P4/mmm (123)

---

A relaxed structure of Al2Ag2Rh. Source: the Alexandria database, functional PBE-GGA.

Cell: 6.5824 6.5824 3.7915 Å, 90.00 90.00 90.00°
Atoms (fractional coordinates):
Al 0.1488 0.3512 0.0000
Al 0.3512 0.8512 0.0000
Al 0.6488 0.1488 0.0000
Al 0.8512 0.6488 0.0000
Ag 0.1560 0.6560 0.5000
Ag 0.3440 0.1560 0.5000
Ag 0.6560 0.8440 0.5000
Ag 0.8440 0.3440 0.5000
Rh 0.0000 0.0000 0.0000
Rh 0.5000 0.5000 0.0000

Properties
Energy relative to the elements = -0.14 eV/atom
Space group = P4/mbm (127)

---

A relaxed structure of TbP2Rh4. Source: the Alexandria database, functional PBE-GGA.

Cell: 7.6317 7.6317 3.6904 Å, 90.00 90.00 90.00°
Atoms (fractional coordinates):
Tb 0.0000 0.0000 0.0000
Tb 0.5000 0.5000 0.5000
P 0.2321 0.2321 0.5000
P 0.2679 0.7321 0.0000
P 0.7321 0.2679 0.0000
P 0.7679 0.7679 0.5000
Rh 0.0712 0.6778 0.5000
Rh 0.1778 0.4288 0.0000
Rh 0.3222 0.9288 0.5000
Rh 0.4288 0.1778 0.0000
Rh 0.5712 0.8222 0.0000
Rh 0.6778 0.0712 0.5000
Rh 0.8222 0.5712 0.0000
Rh 0.9288 0.3222 0.5000

Properties
Energy relative to the elements = -0.90 eV/atom
Space group = P4_2/mnm (136)

---

A relaxed structure of NdDyHo2Se4. Source: the Alexandria database, functional PBE-GGA.

Cell: 7.1248 4.0418 7.1743 Å, 90.00 108.68 90.00°
Atoms (fractional coordinates):
Nd 0.0000 0.0000 0.0000
Dy 0.5000 0.5000 0.0000
Ho 0.0000 0.5000 0.5000
Ho 0.5000 0.0000 0.5000
Se 0.2538 0.0000 0.7433
Se 0.2600 0.5000 0.2613
Se 0.7400 0.5000 0.7387
Se 0.7462 0.0000 0.2567

Properties
Space group = P2/m (10)
Energy relative to the elements, uncorrected = -1.754 eV/atom